CrCd2W: optimized geometry, GGA-PBEsol.

Cell lengths 2.925, 4.865, 4.865 Å; angles 90.00, 90.00, 90.00 degrees
Element x y z (fractional)
Cr1 0.500 0.500 0.500
W1 0.500 0.000 0.000
Cd1 0.000 0.500 0.000
Cd2 0.000 0.000 0.500

Summary:
VASP energy = -5.7697 eV per atom
Space-group type = No. 123
N(E_F) = 0.5146 states/eV per atom
ΔH_f (0 K) = 0.841 eV per atom
Crystal system = tetragonal
V = 69.23 Å³/f.u.